one:
Material: Er4In
Method: DFT, PBE-GGA
State: optimized geometry

Output
The density of states at the Fermi level comes out at 11.024 states/eV/cell. The calculation puts the total magnetic moment at 0.0019 μB per atom.

Unit cell a=9.1716 b=9.1716 c=9.1716 alpha=147.20 beta=137.11 gamma=55.02
Last column: nearest neighbours and their distance in Å.
Atoms (fractional coordinates):
Er1 0.0000 0.0000 0.0000  8 Er 3.20-3.53, 4 In 3.57
Er2 0.1440 0.3940 0.7500  3 In 3.35-3.53, 10 Er 3.44-3.63
Er3 0.2019 0.1969 0.0050  7 Er 3.11-3.44, 2 In 3.37
Er4 0.3081 0.8031 0.5050  7 Er 3.11-3.44, 2 In 3.37
Er5 0.5000 0.0000 0.5000  8 Er 3.20-3.53, 4 In 3.57
Er6 0.6919 0.1969 0.4950  7 Er 3.11-3.44, 2 In 3.37
Er7 0.7981 0.8031 0.9950  7 Er 3.11-3.44, 2 In 3.37
Er8 0.8560 0.6060 0.2500  3 In 3.35-3.53, 10 Er 3.44-3.63
In1 0.3608 0.6108 0.7500  13 Er 3.35-3.57
In2 0.6392 0.3892 0.2500  13 Er 3.35-3.57

two:
Material: Er4In
Method: DFT, PBE-GGA
State: optimized geometry

Output
The density of states at the Fermi level comes out at 19.873 states/eV/cell. The calculation puts the total magnetic moment at 0.0011 μB per atom.

Unit cell a=7.5638 b=7.5638 c=7.5638 alpha=105.70 beta=105.70 gamma=117.31
Last column: nearest neighbours and their distance in Å.
Atoms (fractional coordinates):
Er1 0.2214 0.2863 0.5649  2 In 2.98-3.21
Er2 0.2214 0.6565 0.9351  2 In 2.98-3.21
Er3 0.2863 0.2214 0.0649  2 In 2.98-3.21
Er4 0.3435 0.7786 0.5649  2 In 2.98-3.21
Er5 0.6565 0.2214 0.4351  2 In 2.98-3.21
Er6 0.7137 0.7786 0.9351  2 In 2.98-3.21
Er7 0.7786 0.3435 0.0649  2 In 2.98-3.21
Er8 0.7786 0.7137 0.4351  2 In 2.98-3.21
In1 0.1250 0.8750 0.2500  8 Er 2.98-3.21
In2 0.8750 0.1250 0.7500  8 Er 2.98-3.21

three:
Material: Er4In
Method: DFT, PBE-GGA
State: optimized geometry

Output
The density of states at the Fermi level comes out at 8.841 states/eV/cell. The calculation puts the total magnetic moment at 0.0036 μB per atom.

Unit cell a=5.6682 b=5.6682 c=5.6682 alpha=90.00 beta=90.00 gamma=90.00
Last column: nearest neighbours and their distance in Å.
Atoms (fractional coordinates):
Er1 0.0000 0.0000 0.0000  12 Er 4.01
Er2 0.0000 0.5000 0.5000  2 In 2.83
Er3 0.5000 0.0000 0.5000  2 In 2.83
Er4 0.5000 0.5000 0.0000  2 In 2.83
In1 0.5000 0.5000 0.5000  6 Er 2.83

What are the relative energies? In eV/atom: one 0.000; two 0.214; three 0.553.